Record 1
Cs4PuBr5: relaxed, PBE.

```
Cs4PuBr5
1.0
-4.498 3.640 5.070
-4.066 -5.102 5.894
3.902 2.587 7.442
Br Cs Pu
5 4 1
Direct
0.096 0.649 0.179
0.924 0.351 0.821
0.275 0.821 0.649
0.745 0.179 0.351
0.394 0.000 0.000
0.608 0.615 0.201
0.810 0.799 0.615
0.425 0.385 0.799
0.224 0.201 0.385
0.010 0.000 0.000
```

Properties
uncorrected formation energy: -1469 meV/atom

---

Record 2
BeAg2Cl: relaxed, PBE.

```
BeAg2Cl
1.0
3.047 -0.009 0.000
-1.532 2.634 0.000
0.000 0.000 9.488
Cl Ag Be
1 2 1
Direct
0.500 0.500 0.649
0.500 0.500 0.303
0.000 0.000 0.043
0.000 0.000 0.505
```

Properties
uncorrected formation energy: -73 meV/atom
energy above the lowest structure with this stoichiometry: 42 meV/atom

---

Record 3
Rb3Sm2ErS6: relaxed, PBE.

```
Rb3Sm2ErS6
1.0
-2.728 -1.678 -6.396
-3.691 -1.445 5.954
-1.203 7.970 -0.244
S Rb Sm Er
6 3 2 1
Direct
0.739 0.739 0.194
0.935 0.609 0.806
0.609 0.935 0.806
0.261 0.261 0.806
0.391 0.065 0.194
0.065 0.391 0.194
0.832 0.168 0.500
0.168 0.832 0.500
0.500 0.500 0.500
0.667 0.333 0.000
0.333 0.667 0.000
0.000 0.000 0.000
```

Properties
uncorrected formation energy: -1841 meV/atom

---

Record 4
MgMnOs2: relaxed, PBE.

```
MgMnOs2
1.0
-7.615 -2.665 4.401
-7.614 -4.561 2.382
-6.134 -4.989 4.684
Mn Os Mg
1 2 1
Direct
0.746 0.746 0.746
0.254 0.254 0.254
0.999 0.999 0.999
0.501 0.501 0.501
```

Properties
E_form: 289 meV/atom

---

Record 5
Cs2YIBr6: relaxed, PBE.

```
Cs2YIBr6
1.0
-5.189 3.486 6.749
-5.815 -7.081 -0.814
-2.542 -4.661 6.723
Br Y Cs I
6 1 2 1
Direct
0.288 0.712 0.000
0.712 0.712 0.000
0.241 0.241 0.517
0.759 0.759 0.483
0.288 0.288 0.000
0.712 0.288 0.000
0.500 0.500 0.000
0.250 0.750 0.500
0.750 0.250 0.500
0.000 0.000 0.000
```

Properties
uncorrected formation energy: -1406 meV/atom

---

Record 6
TaFeSi: relaxed, PBE.

```
TaFeSi
1.0
-0.442 -4.207 0.794
-0.274 -0.948 -5.172
7.162 -0.797 -0.233
Si Fe Ta
4 4 4
Direct
0.250 0.126 0.998
0.250 0.626 0.502
0.750 0.374 0.498
0.750 0.874 0.002
0.750 0.732 0.693
0.250 0.768 0.193
0.250 0.268 0.307
0.750 0.232 0.807
0.250 0.094 0.631
0.750 0.406 0.131
0.250 0.594 0.869
0.750 0.906 0.369
```

Properties
uncorrected formation energy: -309 meV/atom

---

Record 7
Pr5Ho2ErTh: relaxed, PBE.

```
Pr5Ho2ErTh
1.0
5.442 0.000 0.000
-2.721 10.870 0.000
0.000 0.000 10.671
Pr Er Th Ho
10 2 2 4
Direct
0.278 0.556 0.701
0.500 0.000 0.758
0.722 0.444 0.201
0.998 0.996 0.008
0.722 0.444 0.816
0.278 0.556 0.316
0.374 0.747 0.008
0.626 0.253 0.508
0.500 0.000 0.258
0.002 0.004 0.508
0.602 0.204 0.008
0.398 0.796 0.508
0.212 0.423 0.008
0.788 0.577 0.508
0.888 0.775 0.753
0.887 0.775 0.263
0.112 0.225 0.253
0.113 0.225 0.763
```

Properties
E_form: 140 meV/atom

---

Record 8
SiGeP3: relaxed, PBE.

```
SiGeP3
1.0
6.059 0.000 0.000
0.000 6.272 0.000
0.000 0.000 10.111
P Si Ge
12 4 4
Direct
0.902 0.097 0.066
0.399 0.919 0.250
0.899 0.581 0.250
0.101 0.419 0.750
0.902 0.097 0.434
0.402 0.403 0.066
0.598 0.597 0.934
0.601 0.081 0.750
0.098 0.903 0.566
0.402 0.403 0.434
0.598 0.597 0.566
0.098 0.903 0.934
0.981 0.078 0.750
0.481 0.422 0.750
0.019 0.922 0.250
0.519 0.578 0.250
0.500 0.000 0.500
0.000 0.500 0.500
0.500 0.000 0.000
0.000 0.500 0.000
```

Properties
uncorrected formation energy: -22 meV/atom
energy above the lowest structure with this stoichiometry: 0 meV/atom

---

Record 9
LaAl2Ni: relaxed, PBE.

```
LaAl2Ni
1.0
-5.689 0.916 1.287
-1.146 -6.832 -0.205
3.245 -0.997 15.056
Al Ni La
16 8 8
Direct
0.512 0.056 0.709
0.512 0.444 0.709
0.012 0.556 0.791
0.012 0.944 0.791
0.684 0.561 0.548
0.184 0.439 0.952
0.816 0.939 0.048
0.184 0.061 0.952
0.488 0.944 0.291
0.684 0.939 0.548
0.316 0.061 0.452
0.316 0.439 0.452
0.988 0.444 0.209
0.488 0.556 0.291
0.816 0.561 0.048
0.988 0.056 0.209
0.000 0.250 0.072
0.500 0.250 0.572
0.238 0.250 0.812
0.262 0.250 0.312
0.000 0.750 0.928
0.762 0.750 0.188
0.500 0.750 0.428
0.738 0.750 0.688
0.198 0.750 0.602
0.802 0.250 0.398
0.485 0.250 0.135
0.515 0.750 0.865
0.302 0.750 0.102
0.985 0.750 0.365
0.015 0.250 0.635
0.698 0.250 0.898
```

Properties
E_form: -543 meV/atom

---

Record 10
BaSbRuI2: relaxed, PBE.

```
BaSbRuI2
1.0
6.491 0.000 0.000
0.000 6.491 0.000
0.000 0.000 6.849
Sb I Ru Ba
1 2 1 1
Direct
0.000 0.000 0.500
0.500 0.000 0.000
0.000 0.500 0.000
0.500 0.500 0.500
0.000 0.000 0.000
```

Properties
uncorrected formation energy: 933 meV/atom
energy above the lowest structure with this stoichiometry: 1322 meV/atom

---

Record 11
TaSBr2: relaxed, PBE.

```
TaSBr2
1.0
3.521 0.000 0.001
0.000 4.695 0.000
-1.753 -2.345 7.150
Br Ta S
2 1 1
Direct
0.137 0.147 0.276
0.863 0.871 0.724
0.500 0.010 0.000
0.500 0.509 0.000
```

Properties
uncorrected formation energy: -746 meV/atom
energy above the lowest structure with this stoichiometry: 0 meV/atom

---

Record 12
Ba2AgTeS5: relaxed, PBE.

```
Ba2AgTeS5
1.0
-3.267 0.474 2.477
-4.006 -2.182 -8.302
0.487 -12.306 3.000
S Ag Te Ba
10 2 2 4
Direct
0.502 0.003 0.277
0.283 0.567 0.651
0.044 0.089 0.058
0.655 0.309 0.501
0.717 0.433 0.151
0.956 0.911 0.558
0.498 0.997 0.777
0.345 0.691 0.001
0.297 0.594 0.367
0.703 0.406 0.867
0.467 0.933 0.461
0.533 0.067 0.961
0.212 0.424 0.010
0.788 0.576 0.510
0.126 0.251 0.305
0.874 0.749 0.805
0.888 0.777 0.194
0.112 0.223 0.694
```

Properties
uncorrected formation energy: -877 meV/atom

---

Record 13
InTc2Cl: relaxed, PBE.

```
InTc2Cl
1.0
-2.238 1.752 0.572
-1.789 -3.359 3.280
2.500 2.060 3.472
Tc In Cl
2 1 1
Direct
0.000 0.000 0.000
0.500 0.500 0.000
0.000 0.500 0.500
0.500 0.000 0.500
```

Properties
uncorrected formation energy: 683 meV/atom
energy above the lowest structure with this stoichiometry: 706 meV/atom

---

Record 14
Ba2SrAs: relaxed, PBE.

```
Ba2SrAs
1.0
9.288 -0.004 -0.007
-3.194 4.411 0.012
2.901 2.090 3.759
Ba Sr As
2 1 1
Direct
0.000 0.000 0.000
0.500 0.000 0.500
0.000 0.500 0.500
0.500 0.500 0.000
```

Properties
E_form: -350 meV/atom

---

Record 15
NbHg: relaxed, PBE.

```
NbHg
1.0
-2.613 4.566 -1.744
-3.512 -3.129 -2.930
-3.536 -0.287 4.545
Hg Nb
4 4
Direct
0.319 0.681 0.500
0.681 0.319 0.500
0.819 0.819 0.000
0.181 0.181 0.000
0.166 0.166 0.500
0.666 0.334 0.000
0.834 0.834 0.500
0.334 0.666 0.000
```

Properties
E_form: 749 meV/atom

---

Record 16
LaThTe2: relaxed, PBE.

```
LaThTe2
1.0
-1.327 -3.745 -1.555
-1.965 -2.795 2.555
-8.432 1.218 -1.591
Te La Th
2 1 1
Direct
0.249 0.249 0.254
0.085 0.085 0.746
0.668 0.668 0.995
0.498 0.498 0.505
```

Properties
uncorrected formation energy: -1276 meV/atom
energy above the lowest structure with this stoichiometry: 22 meV/atom

---

Record 17
KBaP2: relaxed, PBE.

```
KBaP2
1.0
-4.819 5.956 4.230
-6.494 -1.171 -5.749
-6.833 0.175 1.021
K P Ba
2 4 2
Direct
0.500 0.500 0.000
0.250 0.750 0.500
0.622 0.125 0.250
0.128 0.625 0.250
0.375 0.378 0.750
0.875 0.872 0.750
0.750 0.250 0.500
0.000 0.000 0.000
```

Properties
energy above the lowest structure with this stoichiometry: 639 meV/atom
E_form: -6 meV/atom

---

Record 18
EuY3Cu: relaxed, PBE.

```
EuY3Cu
1.0
5.474 0.000 0.000
0.000 5.474 0.000
0.000 0.000 5.474
Y Cu Eu
3 1 1
Direct
0.000 0.000 0.500
0.500 0.000 0.000
0.000 0.500 0.000
0.000 0.000 0.000
0.500 0.500 0.500
```

Properties
E_form: 69 meV/atom

---

Record 19
Pa2TlNi: relaxed, PBE.

```
Pa2TlNi
1.0
-1.631 -0.541 -2.647
-0.567 -2.963 -0.926
-9.835 -1.178 4.419
Pa Ni Tl
2 1 1
Direct
0.078 0.078 0.766
0.922 0.922 0.234
0.000 0.000 0.000
0.500 0.500 0.500
```

Properties
energy above the lowest structure with this stoichiometry: 448 meV/atom
E_form: 395 meV/atom

---

Record 20
Ba2BeAsN: relaxed, PBE.

```
Ba2BeAsN
1.0
4.097 0.000 0.000
0.000 7.012 0.006
0.000 -3.000 8.676
Ba N As Be
4 2 2 2
Direct
0.750 0.786 0.040
0.250 0.199 0.387
0.750 0.801 0.613
0.250 0.214 0.960
0.750 0.204 0.176
0.250 0.796 0.824
0.250 0.638 0.293
0.750 0.362 0.707
0.750 0.440 0.240
0.250 0.560 0.760
```

Properties
uncorrected formation energy: -833 meV/atom

---

Record 21
Sr2MoAs: relaxed, PBE.

```
Sr2MoAs
1.0
-4.548 2.514 0.392
-3.587 -1.621 3.415
-1.043 2.853 4.234
As Mo Sr
1 1 2
Direct
0.500 0.500 0.500
0.750 0.750 0.750
0.250 0.250 0.250
0.000 0.000 0.000
```

Properties
E_form: 510 meV/atom

---

Record 22
Mg2Cd2Pd: relaxed, PBE.

```
Mg2Cd2Pd
1.0
-4.342 4.819 -2.108
-4.901 -2.713 3.892
1.266 2.643 3.435
Mg Cd Pd
4 4 2
Direct
0.653 0.153 0.000
0.847 0.653 0.000
0.153 0.347 0.000
0.347 0.847 0.000
0.341 0.159 0.500
0.159 0.659 0.500
0.659 0.841 0.500
0.841 0.341 0.500
0.000 0.000 0.000
0.500 0.500 0.000
```

Properties
energy above the lowest structure with this stoichiometry: 264 meV/atom
E_form: -91 meV/atom

---

Record 23
ScMo: relaxed, PBE.

```
ScMo
1.0
2.868 0.000 0.000
-1.434 5.257 0.000
0.000 0.000 5.009
Mo Sc
2 2
Direct
0.135 0.270 0.250
0.865 0.730 0.750
0.399 0.797 0.250
0.601 0.203 0.750
```

Properties
energy above the lowest structure with this stoichiometry: 457 meV/atom
E_form: 432 meV/atom

---

no.,N(E_F) (states/eV per atom)
1,2.01
2,0.21
3,0.00
4,1.31
5,0.00
6,0.85
7,1.43
8,0.24
9,0.60
10,3.77
11,0.31
12,0.24
13,1.13
14,0.82
15,0.88
16,0.91
17,0.76
18,1.59
19,1.60
20,0.00
21,1.12
22,0.36
23,0.61